# VCrCd2O6

An optimized crystal structure of VCrCd2O6 (PBE with a Hubbard U, the Alexandria database).

Structure (extended XYZ):
```
10
Lattice="5.389 0.000 0.000 0.000 5.389 0.000 0.000 0.000 4.096" Properties=species:S:1:pos:R:3 pbc="T T T"
V 0.000 0.000 0.000
Cr 2.694 2.694 0.202
Cd 0.000 2.694 1.855
Cd 2.694 0.000 1.855
O 0.000 0.000 2.378
O 1.297 1.297 0.344
O 1.297 4.092 0.344
O 2.694 2.694 2.297
O 4.092 1.297 0.344
O 4.092 4.092 0.344
```

## Properties
V = 11.89 A^3/atom
Space group = P4mm (99)
Electronic total energy = -6.03 eV per atom